1.
First-principles (GGA-PBE) data for crystalline ThNpRu2 at its relaxed geometry, as listed in the Alexandria database.

Cell: 6.9245 6.9245 6.9245 Å, 90.00 90.00 90.00°
Last column: nearest neighbours and their distance in Å.
Space group Fm-3m (No. 225)
Symmetry-distinct sites (fractional):
Th 0.0000 0.0000 0.0000 [4 per cell]  8 Ru 3.00
Np 0.0000 0.0000 0.5000 [4 per cell]  8 Ru 3.00
Ru 0.2500 0.2500 0.2500 [8 per cell]  4 Th 3.00, 4 Np 3.00

## Properties
- E_tot: -9.851 eV/atom
- Formation energy from the elements: -123 meV/atom
- M_tot: 3.22 μB/f.u.


2.
First-principles (GGA-PBE) data for crystalline TbPr5Ho4 at its relaxed geometry, as listed in the Alexandria database.

Cell: 3.6281 9.5608 10.2534 Å, 74.07 89.97 79.13°
Last column: nearest neighbours and their distance in Å.
Space group P-1 (No. 2)
Symmetry-distinct sites (fractional):
Tb 0.0000 0.0000 0.0000 [1 per cell]  6 Ho 3.58-3.60, 4 Pr 3.59, 2 Tb 3.63
Pr 0.0000 0.0000 0.5000 [1 per cell]  8 Pr 3.61-3.66, 4 Ho 3.67-3.68
Pr 0.2008 0.5994 0.6006 [2 per cell]  5 Ho 3.59-3.65, 7 Pr 3.61-3.67
Pr 0.3998 0.2001 0.1942 [2 per cell]  4 Ho 3.56-3.62, 2 Tb 3.59, 6 Pr 3.63-3.67
Ho 0.1990 0.6012 0.0998 [2 per cell]  5 Pr 3.56-3.62, 6 Ho 3.58-3.64, 1 Tb 3.60
Ho 0.3993 0.2015 0.7049 [2 per cell]  4 Ho 3.58-3.63, 2 Tb 3.58, 6 Pr 3.59-3.68

## Properties
- E_tot: -4.666 eV/atom
- Formation energy from the elements: 18 meV/atom
- M_tot: 0.00 μB/f.u.